[1]
The following is a PBE calculation of a geometry-optimized PaZnAgPd structure, from Alexandria.

CIF file:
```
data_PaZnAgPd
_chemical_formula_sum 'Pa4 Zn4 Ag4 Pd4'
_space_group_name_H-M_alt 'F -4 3 m'
_space_group_IT_number 216
_space_group_name_Hall 'F -4 2 3'
_cell_length_a 6.798
_cell_length_b 6.798
_cell_length_c 6.798
_cell_angle_alpha 90.00
_cell_angle_beta 90.00
_cell_angle_gamma 90.00
loop_
_atom_site_label
_atom_site_type_symbol
_atom_site_fract_x
_atom_site_fract_y
_atom_site_fract_z
Pa1 Pa 0.000 0.000 0.000
Zn1 Zn 0.000 0.000 0.500
Ag1 Ag 0.250 0.250 0.750
Pd1 Pd 0.250 0.250 0.250
```

ΔH_f (0 K): -0.1325 eV/atom
N(E_F): 23.97 states/eV/cell
Crystal system: cubic


[2]
The following is a PBE calculation of a geometry-optimized PmPaAgPt structure, from Alexandria.

CIF file:
```
data_PmPaAgPt
_chemical_formula_sum 'Pm4 Pa4 Ag4 Pt4'
_space_group_name_H-M_alt 'F -4 3 m'
_space_group_IT_number 216
_space_group_name_Hall 'F -4 2 3'
_cell_length_a 7.205
_cell_length_b 7.205
_cell_length_c 7.205
_cell_angle_alpha 90.00
_cell_angle_beta 90.00
_cell_angle_gamma 90.00
loop_
_atom_site_label
_atom_site_type_symbol
_atom_site_fract_x
_atom_site_fract_y
_atom_site_fract_z
Pm1 Pm 0.000 0.000 0.000
Pa1 Pa 0.000 0.000 0.500
Ag1 Ag 0.250 0.250 0.750
Pt1 Pt 0.250 0.250 0.250
```

ΔH_f (0 K): -0.3521 eV/atom
N(E_F): 27.83 states/eV/cell
Crystal system: cubic


[3]
The following is a PBE calculation of a geometry-optimized PmPaAgRh structure, from Alexandria.

CIF file:
```
data_PmPaAgRh
_chemical_formula_sum 'Pm4 Pa4 Ag4 Rh4'
_space_group_name_H-M_alt 'F -4 3 m'
_space_group_IT_number 216
_space_group_name_Hall 'F -4 2 3'
_cell_length_a 7.140
_cell_length_b 7.140
_cell_length_c 7.140
_cell_angle_alpha 90.00
_cell_angle_beta 90.00
_cell_angle_gamma 90.00
loop_
_atom_site_label
_atom_site_type_symbol
_atom_site_fract_x
_atom_site_fract_y
_atom_site_fract_z
Pm1 Pm 0.000 0.000 0.000
Pa1 Pa 0.000 0.000 0.500
Ag1 Ag 0.250 0.250 0.750
Rh1 Rh 0.250 0.250 0.250
```

ΔH_f (0 K): -0.1885 eV/atom
N(E_F): 25.54 states/eV/cell
Crystal system: cubic


[4]
The following is a PBE calculation of a geometry-optimized Pm2PaAgSe6 structure, from Alexandria.

CIF file:
```
data_Pm2PaAgSe6
_chemical_formula_sum 'Pm2 Pa1 Ag1 Se6'
_space_group_name_H-M_alt 'P 4 m m'
_space_group_IT_number 99
_space_group_name_Hall 'P 4 -2'
_cell_length_a 6.753
_cell_length_b 6.753
_cell_length_c 6.928
_cell_angle_alpha 90.00
_cell_angle_beta 90.00
_cell_angle_gamma 90.00
loop_
_atom_site_label
_atom_site_type_symbol
_atom_site_fract_x
_atom_site_fract_y
_atom_site_fract_z
Pm1 Pm 0.000 0.500 0.000
Pa1 Pa 0.000 0.000 0.600
Ag1 Ag 0.500 0.500 0.516
Se1 Se 0.000 0.000 0.196
Se2 Se 0.258 0.258 0.755
Se3 Se 0.500 0.500 0.155
```

Energy relative to the elements, uncorrected: -1089 meV per atom
Crystal system: tetragonal


[5]
The following is a PBE calculation of a geometry-optimized PmPaSiAg structure, from Alexandria.

CIF file:
```
data_PmPaSiAg
_chemical_formula_sum 'Pm4 Pa4 Si4 Ag4'
_space_group_name_H-M_alt 'F -4 3 m'
_space_group_IT_number 216
_space_group_name_Hall 'F -4 2 3'
_cell_length_a 7.222
_cell_length_b 7.222
_cell_length_c 7.222
_cell_angle_alpha 90.00
_cell_angle_beta 90.00
_cell_angle_gamma 90.00
loop_
_atom_site_label
_atom_site_type_symbol
_atom_site_fract_x
_atom_site_fract_y
_atom_site_fract_z
Pm1 Pm 0.000 0.000 0.000
Pa1 Pa 0.000 0.000 0.500
Si1 Si 0.250 0.250 0.750
Ag1 Ag 0.250 0.250 0.250
```

N(E_F): 33.75 states/eV/cell
Energy relative to the elements, uncorrected: -70 meV per atom
Crystal system: cubic


[6]
The following is a PBE calculation of a geometry-optimized PmPaAgSn structure, from Alexandria.

CIF file:
```
data_PmPaAgSn
_chemical_formula_sum 'Pm4 Pa4 Ag4 Sn4'
_space_group_name_H-M_alt 'F -4 3 m'
_space_group_IT_number 216
_space_group_name_Hall 'F -4 2 3'
_cell_length_a 7.526
_cell_length_b 7.526
_cell_length_c 7.526
_cell_angle_alpha 90.00
_cell_angle_beta 90.00
_cell_angle_gamma 90.00
loop_
_atom_site_label
_atom_site_type_symbol
_atom_site_fract_x
_atom_site_fract_y
_atom_site_fract_z
Pm1 Pm 0.000 0.000 0.000
Pa1 Pa 0.000 0.000 0.500
Ag1 Ag 0.250 0.250 0.250
Sn1 Sn 0.250 0.250 0.750
```

ΔH_f (0 K): -0.0940 eV/atom
N(E_F): 39.82 states/eV/cell
Crystal system: cubic